*A*
## NiRu3I (PBE)

Data for crystalline NiRu3I at its relaxed geometry.

Size of the total moment in μB/f.u.: 6.7
Crystal system: cubic
DOS(E_F) in states/eV/atom: 1.0602

abc: 4.594 4.594 4.594
angles: 90.00 90.00 90.00
Fractional coordinates of all 5 atoms:
1 Ni 0.000 0.000 0.000
2 Ru 0.000 0.000 0.500
3 Ru 0.000 0.500 0.000
4 Ru 0.500 0.000 0.000
5 I 0.500 0.500 0.500

*B*
## NiRu3I (PBE)

Data for crystalline NiRu3I at its relaxed geometry.

Size of the total moment in μB/f.u.: 3.8
Crystal system: cubic
DOS(E_F) in states/eV/atom: 1.6285

abc: 4.781 4.781 4.781
angles: 90.00 90.00 90.00
Fractional coordinates of all 5 atoms:
1 Ni 0.000 0.000 0.000
2 Ru 0.000 0.500 0.500
3 Ru 0.500 0.000 0.500
4 Ru 0.500 0.500 0.000
5 I 0.500 0.500 0.500

Relative energy table, unit meV per atom: *A* 0; *B* 552

*A*
## NiRu2I2 (PBE)

Data for crystalline NiRu2I2 at its relaxed geometry.

Size of the total moment in μB/f.u.: 0.0
Crystal system: tetragonal
DOS(E_F) in states/eV/atom: 1.5374

abc: 5.261 5.261 5.261
angles: 119.09 119.09 91.58
Fractional coordinates of all 5 atoms:
1 Ni 0.000 0.000 0.000
2 Ru 0.338 0.338 0.000
3 Ru 0.662 0.662 0.000
4 I 0.250 0.750 0.500
5 I 0.750 0.250 0.500

*B*
## NiRu2I2 (PBE)

Data for crystalline NiRu2I2 at its relaxed geometry.

Size of the total moment in μB/f.u.: 0.5
Crystal system: tetragonal
DOS(E_F) in states/eV/atom: 1.6535

abc: 6.792 6.792 4.118
angles: 90.00 90.00 90.00
Fractional coordinates of all 10 atoms:
1 Ni 0.000 0.000 0.000
2 Ni 0.500 0.500 0.000
3 Ru 0.135 0.365 0.000
4 Ru 0.365 0.865 0.000
5 Ru 0.635 0.135 0.000
6 Ru 0.865 0.635 0.000
7 I 0.176 0.676 0.500
8 I 0.324 0.176 0.500
9 I 0.676 0.824 0.500
10 I 0.824 0.324 0.500

Relative energy table, unit meV per atom: *A* 72; *B* 0